[1]
Compound: Tb2Ga2Pd
Source: the Alexandria database
Functional: GGA-PBE
Structure: optimized geometry

Calculated values
**Magnetic moment**: 0.00 μB per cell
**Formation enthalpy at 0 K**: -585.1 meV/atom
**ΔE to the lowest computed polymorph**: 85.9 kJ/mol of formula units

Cell lengths 7.5106, 7.5106, 7.5106 Å; angles 131.08, 68.94, 134.61 degrees
Closest atoms and distances in Å follow each position.
Sites, in units of the cell vectors:
Tb 0.1686 0.2287 0.3974  2 Pd 2.91, 5 Ga 2.96-3.18
Tb 0.3314 0.7287 0.0601  2 Pd 2.91, 5 Ga 2.96-3.18
Tb 0.6686 0.2713 0.9399  2 Pd 2.91, 5 Ga 2.96-3.18
Tb 0.8314 0.7713 0.6026  2 Pd 2.91, 5 Ga 2.96-3.18
Ga 0.0769 0.6678 0.7447  2 Pd 2.70, 1 Ga 2.83, 1 Tb 2.96
Ga 0.4231 0.1678 0.5909  2 Pd 2.70, 1 Ga 2.83, 1 Tb 2.96
Ga 0.5769 0.8322 0.4091  2 Pd 2.70, 1 Ga 2.83, 1 Tb 2.96
Ga 0.9231 0.3322 0.2553  2 Pd 2.70, 1 Ga 2.83, 1 Tb 2.96
Pd 0.2500 0.2500 0.0000  4 Ga 2.70, 2 Pd 2.90, 4 Tb 2.91
Pd 0.7500 0.7500 0.0000  4 Ga 2.70, 2 Pd 2.90, 4 Tb 2.91

***

[2]
Compound: Tb2GaPd8
Source: the Alexandria database
Functional: GGA-PBE
Structure: optimized geometry

Calculated values
**Magnetic moment**: 0.00 μB per cell
**Formation enthalpy at 0 K**: -666.9 meV/atom

Cell lengths 7.9955, 7.9955, 5.9747 Å; angles 111.87, 111.87, 33.58 degrees
Closest atoms and distances in Å follow each position.
Sites, in units of the cell vectors:
Tb 0.1892 0.1892 0.1889  12 Pd 2.83-3.07
Tb 0.8108 0.8108 0.8111  12 Pd 2.83-3.07
Ga 0.5000 0.5000 0.5000  4 Pd 2.44
Pd 0.0002 0.0002 0.2521  2 Ga 2.74, 8 Pd 2.93-3.01, 2 Tb 3.06-3.07
Pd 0.9998 0.9998 0.7479  2 Ga 2.74, 8 Pd 2.93-3.01, 2 Tb 3.06-3.07
Pd 0.1796 0.1796 0.6798  8 Pd 2.86-3.00, 4 Tb 2.96-2.99
Pd 0.3664 0.3664 0.6265  1 Ga 2.44
Pd 0.3669 0.3669 0.1062  1 Ga 2.44
Pd 0.6331 0.6331 0.8938  1 Ga 2.44
Pd 0.6336 0.6336 0.3735  1 Ga 2.44
Pd 0.8204 0.8204 0.3202  8 Pd 2.86-3.00, 4 Tb 2.96-2.99

***

[3]
Compound: Tb2Ga3Pd2
Source: the Alexandria database
Functional: GGA-PBE
Structure: optimized geometry

Calculated values
**Magnetic moment**: 0.00 μB per cell
**Formation enthalpy at 0 K**: -780.9 meV/atom

Cell lengths 5.4794, 5.4794, 6.6833 Å; angles 111.27, 111.27, 47.39 degrees
Closest atoms and distances in Å follow each position.
Sites, in units of the cell vectors:
Tb 0.1523 0.1523 0.2730  4 Pd 2.91-3.06, 4 Ga 3.04-3.21
Tb 0.8477 0.8477 0.7270  4 Pd 2.91-3.06, 4 Ga 3.04-3.21
Ga 0.3879 0.3879 0.0605  3 Pd 2.65-2.70, 2 Ga 2.68-2.70
Ga 0.5000 0.5000 0.5000  2 Ga 2.70, 4 Pd 2.70
Ga 0.6121 0.6121 0.9395  3 Pd 2.65-2.70, 2 Ga 2.68-2.70
Pd 0.1357 0.1357 0.7207  5 Ga 2.65-2.70, 1 Tb 2.91
Pd 0.8643 0.8643 0.2793  5 Ga 2.65-2.70, 1 Tb 2.91

***

[4]
Compound: Tb2GaPd3
Source: the Alexandria database
Functional: GGA-PBE
Structure: optimized geometry

Calculated values
**Magnetic moment**: 0.00 μB per cell
**Formation enthalpy at 0 K**: -816.3 meV/atom

Cell lengths 8.9701, 8.4848, 5.7179 Å; angles 75.54, 66.34, 38.12 degrees
Closest atoms and distances in Å follow each position.
Sites, in units of the cell vectors:
Tb 0.2472 0.7528 0.7528  10 Pd 3.09-3.23, 2 Ga 3.13, 1 Tb 3.44
Tb 0.2500 0.2500 0.2500  8 Pd 3.07-3.11, 4 Ga 3.13
Tb 0.7500 0.7500 0.7500  8 Pd 3.07-3.11, 4 Ga 3.13
Tb 0.7528 0.2472 0.2472  10 Pd 3.09-3.23, 2 Ga 3.13, 1 Tb 3.44
Ga 0.3325 0.3325 0.6675  3 Pd 2.49-2.50
Ga 0.6675 0.6675 0.3325  3 Pd 2.49-2.50
Pd 0.1711 0.1711 0.8289  1 Ga 2.50, 2 Pd 2.71
Pd 0.1754 0.6506 0.3494  1 Ga 2.49, 2 Pd 2.69-2.71
Pd 0.3494 0.8246 0.1754  1 Ga 2.49, 2 Pd 2.69-2.71
Pd 0.6506 0.1754 0.8246  1 Ga 2.49, 2 Pd 2.69-2.71
Pd 0.8246 0.3494 0.6506  1 Ga 2.49, 2 Pd 2.69-2.71
Pd 0.8289 0.8289 0.1711  1 Ga 2.50, 2 Pd 2.71